1.
MnCd2InCl6: optimized geometry, GGA-PBE.

a = 8.243 Å, b = 9.607 Å, c = 9.607 Å
α = 97.33°, β = 73.53°, γ = 73.53°
Each line ends with the local moment (μB).
Fractional coordinates of all 20 atoms:
1 Cl 0.023 0.690 0.555  -0.01
2 Cl 0.686 0.800 0.952  0.04
3 Cl 0.523 0.555 0.690  -0.01
4 Cl 0.814 0.048 0.200  0.04
5 Cl 0.186 0.952 0.800  0.04
6 Cl 0.477 0.445 0.310  -0.01
7 Cl 0.032 0.643 0.137  0.04
8 Cl 0.977 0.310 0.445  -0.01
9 Cl 0.314 0.200 0.048  0.04
10 Cl 0.468 0.863 0.357  0.04
11 Cl 0.532 0.137 0.643  0.04
12 Cl 0.968 0.357 0.863  0.04
13 Mn 0.250 0.179 0.821  4.28
14 Mn 0.750 0.821 0.179  4.28
15 In 0.750 0.106 0.894  0.01
16 In 0.250 0.894 0.106  0.01
17 Cd 0.661 0.289 0.454  -0.02
18 Cd 0.839 0.546 0.711  -0.02
19 Cd 0.339 0.711 0.546  -0.02
20 Cd 0.161 0.454 0.289  -0.02

Results
volume	681	Å³/cell
size of the total moment	4.78	μB per formula unit
calculated density	2.96	g/cm³
raw total energy	-3.336	eV per atom
ΔE_f (raw)	-854	meV per atom

2.
Si2BiIr: optimized geometry, GGA-PBE.

a = 5.871 Å, b = 5.871 Å, c = 7.097 Å
α = 65.57°, β = 65.57°, γ = 90.00°
Fractional coordinates of all 8 atoms:
1 Si 0.199 0.625 0.250
2 Si 0.551 0.125 0.250
3 Si 0.875 0.801 0.750
4 Si 0.375 0.449 0.750
5 Bi 0.000 0.000 0.000
6 Bi 0.750 0.250 0.500
7 Ir 0.250 0.750 0.500
8 Ir 0.500 0.500 0.000

Results
volume	198	Å³/cell
size of the total moment	0.00	μB per formula unit
calculated density	7.65	g/cm³
raw total energy	-5.798	eV per atom
ΔE_f (raw)	99	meV per atom

3.
PaTeRu: optimized geometry, GGA-PBE.

a = 4.066 Å, b = 4.066 Å, c = 17.279 Å
α = 90.00°, β = 90.00°, γ = 90.00°
Fractional coordinates of all 12 atoms:
1 Ru 0.750 0.999 0.750
2 Ru 0.750 0.001 0.250
3 Ru 0.250 0.499 0.750
4 Ru 0.250 0.501 0.250
5 Pa 0.750 0.500 0.143
6 Pa 0.750 0.500 0.643
7 Pa 0.250 0.000 0.357
8 Pa 0.250 0.000 0.857
9 Te 0.250 0.000 0.063
10 Te 0.250 0.000 0.563
11 Te 0.750 0.500 0.937
12 Te 0.750 0.500 0.437

Results
volume	286	Å³/cell
distance to the lowest polymorph of the same formula	0.000	eV per formula unit
size of the total moment	0.00	μB per formula unit
calculated density	10.69	g/cm³
raw total energy	-7.889	eV per atom
ΔE_f (raw)	-584	meV per atom

4.
Tl3TcRu: optimized geometry, GGA-PBE.

a = 5.226 Å, b = 5.226 Å, c = 5.226 Å
α = 90.00°, β = 90.00°, γ = 90.00°
Each line ends with the local moment (μB).
Fractional coordinates of all 5 atoms:
1 Tl 0.500 0.000 0.000  0.03
2 Tl 0.000 0.500 0.000  -0.01
3 Tl 0.000 0.000 0.500  -0.03
4 Ru 0.000 0.000 0.000  0.33
5 Tc 0.500 0.500 0.500  3.50

Results
volume	143	Å³/cell
distance to the lowest polymorph of the same formula	0.000	eV per formula unit
size of the total moment	4.46	μB per formula unit
calculated density	9.45	g/cm³
raw total energy	-4.169	eV per atom

5.
KPa2BiO8: optimized geometry, GGA-PBE.

a = 5.190 Å, b = 5.185 Å, c = 7.207 Å
α = 90.00°, β = 90.00°, γ = 88.43°
Fractional coordinates of all 12 atoms:
1 K 0.000 0.000 0.500
2 O 0.209 0.791 0.209
3 O 0.791 0.209 0.791
4 O 0.694 0.694 0.000
5 O 0.791 0.209 0.209
6 O 0.209 0.791 0.791
7 O 0.664 0.665 0.500
8 O 0.306 0.306 0.000
9 O 0.336 0.335 0.500
10 Pa 0.500 0.500 0.748
11 Pa 0.500 0.500 0.252
12 Bi 0.000 0.000 0.000

Results
volume	194	Å³/cell
size of the total moment	0.00	μB per formula unit
calculated density	7.18	g/cm³
raw total energy	-7.802	eV per atom
ΔE_f (raw)	-2499	meV per atom

6.
Ba2ZrMo: optimized geometry, GGA-PBE.

a = 5.705 Å, b = 3.200 Å, c = 6.996 Å
α = 64.72°, β = 90.00°, γ = 90.00°
Fractional coordinates of all 4 atoms:
1 Mo 0.500 0.250 0.250
2 Zr 0.500 0.750 0.750
3 Ba 0.000 0.491 0.496
4 Ba 0.000 0.009 0.004

Results
volume	115	Å³/cell
distance to the lowest polymorph of the same formula	2.604	eV per formula unit
size of the total moment	0.00	μB per formula unit
calculated density	6.64	g/cm³
raw total energy	-4.651	eV per atom

7.
Ac2HgGe3Ir4: optimized geometry, GGA-PBE.

a = 4.340 Å, b = 4.340 Å, c = 10.941 Å
α = 90.00°, β = 90.00°, γ = 90.00°
Fractional coordinates of all 10 atoms:
1 Ir 0.500 0.000 0.653
2 Ir 0.500 0.500 0.000
3 Ir 0.000 0.000 0.000
4 Ir 0.000 0.500 0.347
5 Ge 0.000 0.500 0.120
6 Ge 0.500 0.000 0.880
7 Ge 0.000 0.000 0.500
8 Ac 0.500 0.000 0.249
9 Ac 0.000 0.500 0.751
10 Hg 0.500 0.500 0.500

Results
volume	206	Å³/cell
size of the total moment	0.00	μB per formula unit
calculated density	13.23	g/cm³
raw total energy	-6.354	eV per atom

8.
Cs2LaTcBr6: optimized geometry, GGA-PBE.

a = 7.841 Å, b = 7.841 Å, c = 7.841 Å
α = 60.00°, β = 60.00°, γ = 90.00°
Fractional coordinates of all 10 atoms:
1 Br 0.265 0.735 0.000
2 Br 0.735 0.735 0.000
3 Br 0.265 0.265 0.471
4 Br 0.265 0.265 0.000
5 Br 0.735 0.265 0.000
6 Br 0.735 0.735 0.529
7 Tc 0.500 0.500 0.000
8 La 0.000 0.000 0.000
9 Cs 0.250 0.750 0.500
10 Cs 0.750 0.250 0.500

Results
volume	341	Å³/cell
size of the total moment	0.00	μB per formula unit
calculated density	4.78	g/cm³
raw total energy	-3.957	eV per atom
ΔE_f (raw)	-1253	meV per atom

calculated density of number 7 (Ac2HgGe3Ir4)? 13.23 g/cm³

Which value of size of the total moment does entry 5 give? 0.00 μB per formula unit

What did the first record say?
MnCd2InCl6: optimized geometry, GGA-PBE.

a = 8.243 Å, b = 9.607 Å, c = 9.607 Å
α = 97.33°, β = 73.53°, γ = 73.53°
Each line ends with the local moment (μB).
Fractional coordinates of all 20 atoms:
1 Cl 0.023 0.690 0.555  -0.01
2 Cl 0.686 0.800 0.952  0.04
3 Cl 0.523 0.555 0.690  -0.01
4 Cl 0.814 0.048 0.200  0.04
5 Cl 0.186 0.952 0.800  0.04
6 Cl 0.477 0.445 0.310  -0.01
7 Cl 0.032 0.643 0.137  0.04
8 Cl 0.977 0.310 0.445  -0.01
9 Cl 0.314 0.200 0.048  0.04
10 Cl 0.468 0.863 0.357  0.04
11 Cl 0.532 0.137 0.643  0.04
12 Cl 0.968 0.357 0.863  0.04
13 Mn 0.250 0.179 0.821  4.28
14 Mn 0.750 0.821 0.179  4.28
15 In 0.750 0.106 0.894  0.01
16 In 0.250 0.894 0.106  0.01
17 Cd 0.661 0.289 0.454  -0.02
18 Cd 0.839 0.546 0.711  -0.02
19 Cd 0.339 0.711 0.546  -0.02
20 Cd 0.161 0.454 0.289  -0.02

Results
volume	681	Å³/cell
size of the total moment	4.78	μB per formula unit
calculated density	2.96	g/cm³
raw total energy	-3.336	eV per atom
ΔE_f (raw)	-854	meV per atom